[1]
Entry from Alexandria: a geometry-optimized NiHgSb2 structure (GGA-PBEsol).

a = 4.5466 Å, b = 4.5466 Å, c = 8.0273 Å
α = 90.00°, β = 90.00°, γ = 90.00°
Last column: nearest neighbours and their distance in Å.
Space group I4/mmm (No. 139)
Asymmetric unit:
Ni  0.0000  0.0000  0.0000 [2 per cell]  8 Sb 3.03, 4 Hg 3.21
Hg  0.0000  0.0000  0.5000 [2 per cell]  8 Sb 3.03, 4 Ni 3.21
Sb  0.0000  0.5000  0.2500 [4 per cell]  4 Hg 3.03, 4 Ni 3.03, 4 Sb 3.21

Properties
E_tot = -29.04 eV per cell
density of states at the Fermi level = 4.6 states/eV/cell
formation energy without anion corrections = 7.59 kcal/mol of atoms
spin magnetization = 0.000 μB/f.u.

---

[2]
Entry from Alexandria: a geometry-optimized SrCr2AgIr structure (GGA-PBEsol).

a = 4.6891 Å, b = 4.6891 Å, c = 5.6653 Å
α = 90.00°, β = 90.00°, γ = 90.00°
Last column: nearest neighbours and their distance in Å.
Space group P4/mmm (No. 123)
Asymmetric unit:
Sr  0.0000  0.0000  0.0000 [1 per cell]  2 Ir 2.83
Cr  0.0000  0.5000  0.5000 [2 per cell]  2 Ir 2.34
Ag  0.5000  0.5000  0.0000 [1 per cell]  4 Sr 3.32, 8 Cr 3.68
Ir  0.0000  0.0000  0.5000 [1 per cell]  4 Cr 2.34

Properties
E_tot = -30.75 eV per cell
density of states at the Fermi level = 3.5 states/eV/cell
spin magnetization = 6.834 μB/f.u.

---

[3]
Entry from Alexandria: a geometry-optimized MgCoTcH2 structure (GGA-PBEsol).

a = 3.5926 Å, b = 3.5926 Å, c = 4.3834 Å
α = 90.00°, β = 90.00°, γ = 90.00°
Last column: nearest neighbours and their distance in Å.
Space group P4/mmm (No. 123)
Asymmetric unit:
Mg  0.0000  0.0000  0.0000 [1 per cell]  4 Tc 2.54, 8 H 2.83
Co  0.5000  0.5000  0.5000 [1 per cell]  4 H 1.80
Tc  0.5000  0.5000  0.0000 [1 per cell]  2 Co 2.19
H  0.0000  0.5000  0.5000 [2 per cell]  2 Co 1.80

Properties
E_tot = -23.39 eV per cell
density of states at the Fermi level = 3.2 states/eV/cell
spin magnetization = 0.000 μB/f.u.

---

[4]
Entry from Alexandria: a geometry-optimized CaSc3Cl structure (GGA-PBEsol).

a = 4.9362 Å, b = 4.9362 Å, c = 4.9362 Å
α = 90.00°, β = 90.00°, γ = 90.00°
Last column: nearest neighbours and their distance in Å.
Space group Pm-3m (No. 221)
Asymmetric unit:
Ca  0.0000  0.0000  0.0000 [1 per cell]  12 Sc 3.49
Sc  0.0000  0.5000  0.5000 [3 per cell]  2 Cl 2.47
Cl  0.5000  0.5000  0.5000 [1 per cell]  6 Sc 2.47

Properties
E_tot = -25.68 eV per cell
density of states at the Fermi level = 7.9 states/eV/cell
formation energy without anion corrections = -7.97 kcal/mol of atoms
spin magnetization = 0.000 μB/f.u.

---

[5]
Entry from Alexandria: a geometry-optimized Co2TeW structure (GGA-PBEsol).

a = 3.1438 Å, b = 3.1438 Å, c = 5.7400 Å
α = 90.00°, β = 90.00°, γ = 90.00°
Last column: nearest neighbours and their distance in Å.
Space group P4mm (No. 99)
Asymmetric unit:
Co  0.0000  0.0000  0.0000 [1 per cell]  4 W 2.52, 4 Co 2.57, 1 Te 2.58
Co  0.5000  0.5000  0.2246 [1 per cell]  1 W 2.48, 4 Te 2.57, 4 Co 2.57
Te  0.0000  0.0000  0.4492 [1 per cell]  5 Co 2.57-2.58
W  0.5000  0.5000  0.7933 [1 per cell]  5 Co 2.48-2.52

Properties
E_tot = -31.14 eV per cell
density of states at the Fermi level = 4.9 states/eV/cell
formation energy without anion corrections = 9.62 kcal/mol of atoms
spin magnetization = 0.037 μB/f.u.

---

[6]
Entry from Alexandria: a geometry-optimized Ir2AuSe structure (GGA-PBEsol).

a = 4.3358 Å, b = 4.3358 Å, c = 6.6913 Å
α = 90.00°, β = 90.00°, γ = 90.00°
Last column: nearest neighbours and their distance in Å.
Space group I-4m2 (No. 119)
Asymmetric unit:
Ir  0.0000  0.0000  0.0000 [2 per cell]  4 Ir 2.74, 4 Au 2.74, 4 Se 3.07
Ir  0.0000  0.5000  0.2500 [2 per cell]  4 Se 2.74, 4 Ir 2.74, 4 Au 3.07
Au  0.0000  0.5000  0.7500 [2 per cell]  4 Se 2.74, 8 Ir 2.74-3.07
Se  0.0000  0.0000  0.5000 [2 per cell]  8 Ir 2.74-3.07, 4 Au 2.74

Properties
E_tot = -49.36 eV per cell
density of states at the Fermi level = 7.9 states/eV/cell
formation energy without anion corrections = 15.79 kcal/mol of atoms
spin magnetization = 0.001 μB/f.u.

---

[7]
Entry from Alexandria: a geometry-optimized CaCo4O8 structure (GGA-PBEsol).

a = 12.2161 Å, b = 2.8591 Å, c = 8.6600 Å
α = 90.00°, β = 129.45°, γ = 90.00°
Last column: nearest neighbours and their distance in Å.
Space group C2/m (No. 12)
Asymmetric unit:
Ca  0.0000  0.0000  0.0000 [2 per cell]  10 O 2.50-2.70
Co  0.1386  0.0000  0.4685 [4 per cell]  6 O 1.82-1.92
Co  0.1662  0.5000  0.8213 [4 per cell]  6 O 1.77-1.92
O  0.0460  0.0000  0.7570 [4 per cell]  3 Co 1.82-1.86
O  0.1254  0.5000  0.5856 [4 per cell]  3 Co 1.77-1.82
O  0.1604  0.5000  0.3416 [4 per cell]  3 Co 1.90-1.92
O  0.1980  0.5000  0.0659 [4 per cell]  3 Co 1.89-1.92

Properties
E_tot = -186.26 eV per cell
density of states at the Fermi level = 1.3 states/eV/cell
formation energy without anion corrections = -32.03 kcal/mol of atoms
spin magnetization = 0.000 μB/f.u.

---

[8]
Entry from Alexandria: a geometry-optimized DyInCu structure (GGA-PBEsol).

a = 7.4148 Å, b = 7.4148 Å, c = 3.7872 Å
α = 90.00°, β = 90.00°, γ = 120.00°
Last column: nearest neighbours and their distance in Å.
Space group P-62m (No. 189)
Asymmetric unit:
Dy  0.0000  0.5904  0.0000 [3 per cell]  5 Cu 2.94-3.04, 6 In 3.12-3.26
In  0.0000  0.2565  0.5000 [3 per cell]  4 Cu 2.68-2.80
Cu  0.0000  0.0000  0.0000 [1 per cell]  6 In 2.68
Cu  0.3333  0.6667  0.5000 [2 per cell]  3 In 2.80, 6 Dy 2.94

Properties
E_tot = -40.96 eV per cell
density of states at the Fermi level = 3.3 states/eV/cell
spin magnetization = 0.000 μB/f.u.

---

[9]
Entry from Alexandria: a geometry-optimized ReP2C structure (GGA-PBEsol).

a = 5.1103 Å, b = 5.1103 Å, c = 7.9812 Å
α = 90.00°, β = 90.00°, γ = 90.00°
Last column: nearest neighbours and their distance in Å.
Space group I-42d (No. 122)
Asymmetric unit:
Re  0.0000  0.0000  0.0000 [4 per cell]  4 P 2.31
P  0.1779  0.7500  0.6250 [8 per cell]  2 C 1.86
C  0.0000  0.0000  0.5000 [4 per cell]  4 P 1.86

Properties
E_tot = -132.10 eV per cell
density of states at the Fermi level = 5.5 states/eV/cell
spin magnetization = 0.000 μB/f.u.

---

[10]
Entry from Alexandria: a geometry-optimized Li2TiSi structure (GGA-PBEsol).

a = 3.5671 Å, b = 3.5671 Å, c = 19.7457 Å
α = 90.00°, β = 90.00°, γ = 90.00°
Last column: nearest neighbours and their distance in Å.
Space group I-42d (No. 122)
Asymmetric unit:
Li  0.2243  0.2500  0.1250 [8 per cell]  4 Li 2.40-2.66
Ti  0.0000  0.0000  0.5000 [4 per cell]  4 Si 2.52, 4 Li 2.80
Si  0.0000  0.0000  0.0000 [4 per cell]  4 Ti 2.52, 4 Li 2.74

Properties
E_tot = -72.68 eV per cell
density of states at the Fermi level = 8.8 states/eV/cell
formation energy without anion corrections = -0.97 kcal/mol of atoms
spin magnetization = 0.560 μB/f.u.

---

[11]
Entry from Alexandria: a geometry-optimized LaSb2Te2 structure (GGA-PBEsol).

a = 8.3374 Å, b = 8.3374 Å, c = 4.2960 Å
α = 90.00°, β = 90.00°, γ = 90.00°
Last column: nearest neighbours and their distance in Å.
Space group P4/mbm (No. 127)
Asymmetric unit:
La  0.0000  0.0000  0.0000 [2 per cell]  4 Te 3.20
Sb  0.1841  0.3159  0.5000 [4 per cell]  2 Te 2.96
Te  0.1434  0.6434  0.0000 [4 per cell]  2 Sb 2.96, 2 La 3.20

Properties
E_tot = -48.09 eV per cell
density of states at the Fermi level = 5.2 states/eV/cell
formation energy without anion corrections = -11.67 kcal/mol of atoms
spin magnetization = 0.000 μB/f.u.

---

[12]
Entry from Alexandria: a geometry-optimized SrTcSb2 structure (GGA-PBEsol).

a = 4.7300 Å, b = 4.7300 Å, c = 4.1221 Å
α = 90.00°, β = 90.00°, γ = 90.00°
Last column: nearest neighbours and their distance in Å.
Space group P4/mmm (No. 123)
Asymmetric unit:
Sr  0.0000  0.0000  0.0000 [1 per cell]  8 Sb 3.14, 4 Tc 3.34
Tc  0.5000  0.5000  0.0000 [1 per cell]  8 Sb 3.14, 4 Sr 3.34
Sb  0.0000  0.5000  0.5000 [2 per cell]  4 Tc 3.14, 4 Sr 3.14, 4 Sb 3.34

Properties
E_tot = -21.20 eV per cell
density of states at the Fermi level = 3.9 states/eV/cell
formation energy without anion corrections = 5.90 kcal/mol of atoms
spin magnetization = 1.556 μB/f.u.

---

[13]
Entry from Alexandria: a geometry-optimized GaNi3As structure (GGA-PBEsol).

a = 4.2667 Å, b = 4.2667 Å, c = 4.2667 Å
α = 90.00°, β = 90.00°, γ = 90.00°
Last column: nearest neighbours and their distance in Å.
Space group Pm-3m (No. 221)
Asymmetric unit:
Ga  0.0000  0.0000  0.0000 [1 per cell]  12 Ni 3.02
Ni  0.0000  0.5000  0.5000 [3 per cell]  2 As 2.13
As  0.5000  0.5000  0.5000 [1 per cell]  6 Ni 2.13

Properties
E_tot = -24.88 eV per cell
density of states at the Fermi level = 4.2 states/eV/cell
spin magnetization = 0.001 μB/f.u.

---

[14]
Entry from Alexandria: a geometry-optimized RuRhN2 structure (GGA-PBEsol).

a = 2.7598 Å, b = 2.7598 Å, c = 19.1450 Å
α = 90.00°, β = 90.00°, γ = 120.00°
Last column: nearest neighbours and their distance in Å.
Space group R-3m (No. 166, hexagonal axes)
Asymmetric unit:
Ru  0.0000  0.0000  0.0000 [3 per cell]  6 N 2.05
Rh  0.0000  0.0000  0.5000 [3 per cell]  2 N 1.91
N  0.0000  0.0000  0.4003 [6 per cell]  1 Rh 1.91, 3 Ru 2.05

Properties
E_tot = -102.49 eV per cell
density of states at the Fermi level = 10.3 states/eV/cell
formation energy without anion corrections = 6.93 kcal/mol of atoms
spin magnetization = 0.003 μB/f.u.